Entry 1:
Density functional theory data (PBE) for a relaxed structure of SrPm2Zn.

Properties
- Distance to the lowest polymorph of the same formula: 0.0 kJ per mole of atoms
- Formation energy from the elements: -0.0682 eV/atom

POSCAR file:
```
SrPm2Zn
1.0
-3.5979 -0.5371 -0.9951
0.3818 -3.7010 0.6169
-2.6678 1.2226 8.9860
Sr Pm Zn
1 2 1
Direct
0.5000 0.5000 0.5000
0.0000 0.0000 0.8214
0.0000 0.0000 0.1786
0.5000 0.5000 0.0000
```

***

Entry 2:
Density functional theory data (PBE) for a relaxed structure of KCrP4.

Properties
- Formation energy from the elements: 0.4401 eV/atom

POSCAR file:
```
KCrP4
1.0
-0.3938 -4.8535 2.7692
-1.5458 -0.0353 5.3841
-5.0282 -1.9932 1.4574
Cr K P
1 1 4
Direct
0.7500 0.7500 0.7500
0.0000 0.0000 0.0000
0.3965 0.3965 0.3965
0.3965 0.8104 0.3965
0.3965 0.3965 0.8104
0.8104 0.3965 0.3965
```

***

Among the records above, which one has the highest formation energy from the elements?
KCrP4

***

Please write out number 2 again, unchanged.
Density functional theory data (PBE) for a relaxed structure of KCrP4.

Properties
- Formation energy from the elements: 0.4401 eV/atom

POSCAR file:
```
KCrP4
1.0
-0.3938 -4.8535 2.7692
-1.5458 -0.0353 5.3841
-5.0282 -1.9932 1.4574
Cr K P
1 1 4
Direct
0.7500 0.7500 0.7500
0.0000 0.0000 0.0000
0.3965 0.3965 0.3965
0.3965 0.8104 0.3965
0.3965 0.3965 0.8104
0.8104 0.3965 0.3965
```

***

What is the formula in the second record?
KCrP4